Entry 1:
Density functional theory data (PBE) for Pa2MnN5 after structural relaxation.

Cell lengths 10.4227, 3.8440, 10.7167 Å; angles 90.00, 90.00, 90.00 degrees
Last column: nearest neighbours and their distance in Å.
Space group Pnma (No. 62)
One atom of each set of equivalent atoms:
Pa: 0.0904 0.2500 0.2187 x4  7 N 2.26-2.40
Pa: 0.1432 0.2500 0.5626 x4  7 N 2.29-2.39
Mn: 0.1981 0.2500 0.8683 x4  3 N 1.73-1.88
N: 0.0141 0.7500 0.5965 x4  4 Pa 2.26-2.37
N: 0.0453 0.2500 0.8053 x4  1 Mn 1.73
N: 0.2052 0.7500 0.2234 x4  1 Mn 1.85
N: 0.2215 0.2500 0.0421 x4  1 Mn 1.88
N: 0.2492 0.2500 0.3753 x4  2 Mn 2.00

Summary:
E_form (uncorrected)	-1125.9	meV/atom
DOS at the Fermi energy	9.2	states/eV/cell
total DFT energy (no corrections)	-9.85	eV/atom
magnetic moment	2.0	μB per formula unit

Entry 2:
Density functional theory data (PBE) for NbSnSe4 after structural relaxation.

Cell lengths 6.5919, 6.7250, 6.7139 Å; angles 90.00, 90.75, 90.00 degrees
Last column: nearest neighbours and their distance in Å.
Space group P2_1/c (No. 14)
One atom of each set of equivalent atoms:
Nb: 0.0000 0.0000 0.0000 x2  6 Se 2.55-2.65
Sn: 0.5000 0.0000 0.5000 x2  6 Se 2.89-3.04
Se: 0.0957 0.1490 0.6549 x4  2 Nb 2.61-2.65
Se: 0.3594 0.6051 0.5981 x4  1 Nb 2.55, 1 Se 2.69

Summary:
E_form (uncorrected)	-400.4	meV/atom
DOS at the Fermi energy	5.7	states/eV/cell
total DFT energy (no corrections)	-5.07	eV/atom
magnetic moment	0.0	μB per formula unit

Entry 3:
Density functional theory data (PBE) for BaCd2Ag2 after structural relaxation.

Cell lengths 8.6421, 8.6421, 3.3401 Å; angles 90.00, 90.00, 90.00 degrees
Last column: nearest neighbours and their distance in Å.
Space group P4/mbm (No. 127)
One atom of each set of equivalent atoms:
Ba: 0.0000 0.0000 0.0000 x2  2 Ba 3.34, 4 Ag 3.42, 8 Cd 3.64
Cd: 0.1629 0.3371 0.5000 x4  6 Ag 3.01-3.09, 2 Cd 3.34
Ag: 0.1246 0.6246 0.0000 x4  6 Cd 3.01-3.09, 3 Ag 3.05-3.34

Summary:
DOS at the Fermi energy	5.8	states/eV/cell
energy above the most stable polymorph in this dataset	0.1684	eV/atom
total DFT energy (no corrections)	-1.96	eV/atom
magnetic moment	0.0	μB per formula unit
E_form	-69	meV per atom

Entry 4:
Density functional theory data (PBE) for EuHoNiRh after structural relaxation.

Cell lengths 6.8893, 6.8893, 6.8893 Å; angles 90.00, 90.00, 90.00 degrees
Last column: nearest neighbours and their distance in Å.
Space group F-43m (No. 216)
One atom of each set of equivalent atoms:
Eu: 0.0000 0.0000 0.0000 x4  4 Ni 2.98, 4 Rh 2.98
Ho: 0.0000 0.0000 0.5000 x4  4 Ni 2.98, 4 Rh 2.98
Ni: 0.2500 0.2500 0.7500 x4  4 Ho 2.98, 4 Eu 2.98
Rh: 0.2500 0.2500 0.2500 x4  4 Ho 2.98, 4 Eu 2.98

Summary:
DOS at the Fermi energy	49.7	states/eV/cell
total DFT energy (no corrections)	-7.39	eV/atom
magnetic moment	6.7	μB per formula unit
E_form	-392	meV per atom

Entry 5:
Density functional theory data (PBE) for LiFePd2 after structural relaxation.

Cell lengths 4.3801, 4.3801, 2.8727 Å; angles 90.00, 90.00, 90.00 degrees
Last column: nearest neighbours and their distance in Å.
Space group P4/mmm (No. 123)
One atom of each set of equivalent atoms:
Li: 0.0000 0.0000 0.0000 x1  8 Pd 2.62, 2 Li 2.87
Fe: 0.5000 0.5000 0.0000 x1  8 Pd 2.62, 2 Fe 2.87
Pd: 0.0000 0.5000 0.5000 x2  4 Fe 2.62, 4 Li 2.62, 2 Pd 2.87

Summary:
DOS at the Fermi energy	3.8	states/eV/cell
total DFT energy (no corrections)	-5.42	eV/atom
magnetic moment	3.6	μB per formula unit
E_form	-232	meV per atom

Entry 6:
Density functional theory data (PBE) for AlRhS after structural relaxation.

Cell lengths 3.2902, 3.2902, 9.8967 Å; angles 90.00, 90.00, 120.00 degrees
Last column: nearest neighbours and their distance in Å.
Space group P-6m2 (No. 187)
One atom of each set of equivalent atoms:
Al: 0.0000 0.0000 0.1683 x2  3 S 2.53, 3 Rh 2.62
Rh: 0.3333 0.6667 0.3506 x2  3 S 2.41, 3 Al 2.62
S: 0.6667 0.3333 0.0000 x1  6 Al 2.53
S: 0.6667 0.3333 0.5000 x1  6 Rh 2.41

Summary:
E_form (uncorrected)	-452.1	meV/atom
DOS at the Fermi energy	4.5	states/eV/cell
total DFT energy (no corrections)	-5.53	eV/atom
magnetic moment	0.0	μB per formula unit

Entry 7:
Density functional theory data (PBE) for ThPaIn2O8 after structural relaxation.

Cell lengths 7.1043, 7.1043, 7.3948 Å; angles 90.00, 90.00, 90.00 degrees
Last column: nearest neighbours and their distance in Å.
Space group I-4m2 (No. 119)
One atom of each set of equivalent atoms:
Th: 0.0000 0.0000 0.0000 x2  4 O 2.28
Pa: 0.0000 0.5000 0.7500 x2  4 O 2.19
In: 0.0000 0.0000 0.5000 x2  4 O 2.07
In: 0.0000 0.5000 0.2500 x2  4 O 2.05
O: 0.0000 0.1951 0.7072 x8  1 In 2.07, 1 Pa 2.19
O: 0.0000 0.3187 0.0340 x8  1 In 2.05, 1 Th 2.28

Summary:
E_form (uncorrected)	-2461.5	meV/atom
DOS at the Fermi energy	6.0	states/eV/cell
total DFT energy (no corrections)	-7.63	eV/atom
magnetic moment	0.0	μB per formula unit

Entry 8:
Density functional theory data (PBE) for Zr4RePd after structural relaxation.

Cell lengths 8.1304, 4.6929, 7.7163 Å; angles 90.00, 110.64, 90.00 degrees
Last column: nearest neighbours and their distance in Å.
Space group C2/m (No. 12)
One atom of each set of equivalent atoms:
Zr: 0.1230 0.0000 0.3693 x4  1 Re 2.67, 3 Pd 2.87
Zr: 0.1286 0.5000 0.8857 x4  1 Pd 2.79, 3 Re 2.83
Re: 0.0000 0.0000 0.0000 x2  8 Zr 2.67-2.83
Pd: 0.0000 0.5000 0.5000 x2  8 Zr 2.79-2.87

Summary:
DOS at the Fermi energy	14.6	states/eV/cell
energy above the most stable polymorph in this dataset	0.2673	eV/atom
total DFT energy (no corrections)	-8.67	eV/atom
magnetic moment	0.0	μB per formula unit
E_form	-35	meV per atom

Entry 9:
Density functional theory data (PBE) for InBrCl after structural relaxation.

Cell lengths 7.0359, 7.0359, 7.0359 Å; angles 90.00, 90.00, 90.00 degrees
Last column: nearest neighbours and their distance in Å.
Space group F-43m (No. 216)
One atom of each set of equivalent atoms:
In: 0.0000 0.0000 0.0000 x4  4 Br 3.05, 4 Cl 3.05
Br: 0.2500 0.2500 0.2500 x4  4 In 3.05
Cl: 0.2500 0.2500 0.7500 x4  4 In 3.05

Summary:
E_form (uncorrected)	-597.9	meV/atom
DOS at the Fermi energy	11.2	states/eV/cell
total DFT energy (no corrections)	-2.68	eV/atom
magnetic moment	0.0	μB per formula unit

Entry 10:
Density functional theory data (PBE) for TbSmNO after structural relaxation.

Cell lengths 3.2011, 3.2107, 11.9268 Å; angles 90.00, 90.00, 90.00 degrees
Last column: nearest neighbours and their distance in Å.
Space group Imm2 (No. 44)
One atom of each set of equivalent atoms:
Tb: 0.0000 0.0000 0.0000 x2  2 O 2.47, 4 N 2.49
Sm: 0.0000 0.5000 0.7571 x2  2 N 2.45, 4 O 2.56
N: 0.0000 0.0000 0.4129 x2  2 Sm 2.45, 4 Tb 2.49
O: 0.0000 0.5000 0.1570 x2  2 Tb 2.47, 4 Sm 2.56

Summary:
E_form (uncorrected)	-1850.4	meV/atom
DOS at the Fermi energy	3.4	states/eV/cell
total DFT energy (no corrections)	-7.51	eV/atom
magnetic moment	0.0	μB per formula unit

Entry 11:
Density functional theory data (PBE) for V3OsN after structural relaxation.

Cell lengths 4.6433, 4.6433, 4.6433 Å; angles 90.00, 90.00, 90.00 degrees
Last column: nearest neighbours and their distance in Å.
Space group Pm-3m (No. 221)
One atom of each set of equivalent atoms:
V: 0.0000 0.0000 0.5000 x3  2 Os 2.32
Os: 0.0000 0.0000 0.0000 x1  6 V 2.32
N: 0.5000 0.5000 0.5000 x1  12 V 3.28

Summary:
E_form (uncorrected)	2015.0	meV/atom
DOS at the Fermi energy	9.6	states/eV/cell
energy above the most stable polymorph in this dataset	2.5737	eV/atom
total DFT energy (no corrections)	-7.37	eV/atom
magnetic moment	3.8	μB per formula unit

Entry 12:
Density functional theory data (PBE) for Co2CuPd7 after structural relaxation.

Cell lengths 7.2282, 12.2868, 4.1052 Å; angles 90.00, 90.00, 90.00 degrees
Last column: nearest neighbours and their distance in Å.
Space group Cmmm (No. 65)
One atom of each set of equivalent atoms:
Co: 0.0000 0.1971 0.0000 x4  5 Pd 2.36-2.48
Cu: 0.0000 0.5000 0.5000 x2  10 Pd 2.56-2.83
Pd: 0.0000 0.0000 0.0000 x2  2 Co 2.42, 4 Pd 2.65
Pd: 0.0000 0.2916 0.5000 x4  2 Co 2.36, 1 Cu 2.56
Pd: 0.1885 0.3868 0.0000 x8  2 Co 2.48-2.70, 4 Pd 2.65-2.73

Summary:
DOS at the Fermi energy	22.9	states/eV/cell
total DFT energy (no corrections)	-4.93	eV/atom
magnetic moment	6.5	μB per formula unit
E_form	531	meV per atom

Q: The highest DOS at the Fermi energy belongs to which entry?
A: EuHoNiRh

Q: DOS at the Fermi energy of number 6 (AlRhS)?
A: 4.5 states/eV/cell

Q: Which value of DOS at the Fermi energy does entry 1 give?
A: 9.2 states/eV/cell